First-principles (PBE) data for LaVCu3 after structural relaxation, as listed in Alexandria via LeMat-Bulk.

```
5
Lattice="5.077 0.000 0.000 0.000 5.077 0.000 0.000 0.000 5.077" Properties=species:S:1:pos:R:3 pbc="T T T"
La 0.000 0.000 0.000
Cu 0.000 2.539 0.000
Cu 0.000 0.000 2.539
Cu 2.539 0.000 0.000
V 2.539 2.539 2.539
```

The spin magnetization is 0.707 μB per atom. Its energy above the most stable polymorph in this dataset is 1.038 eV per atom. The symmetry is Pm-3m. As for the energy of formation: 1.49 eV per atom. The value obtained for the mass density is 4827 kg/m³.